{"formula": "BaI", "functional": "PBE", "state": "relaxed", "lattice_angstrom": [[-0.647, -9.244, 2.864], [2.566, -2.932, -8.882], [9.331, 0.165, 2.641]], "species": ["Ba", "Ba", "Ba", "Ba", "Ba", "Ba", "I", "I", "I", "I", "I", "I"], "fractional_positions": [[0.000, 0.250, 0.500], [0.250, 0.500, 0.000], [0.000, 0.750, 0.500], [0.750, 0.500, 0.000], [0.500, 0.000, 0.750], [0.500, 0.000, 0.250], [0.000, 0.500, 0.250], [0.000, 0.500, 0.750], [0.500, 0.750, 0.000], [0.750, 0.000, 0.500], [0.500, 0.250, 0.000], [0.250, 0.000, 0.500]], "sg": "Pm-3n", "raw_formation_energy_mev_per_atom": -961, "mass_density_g_cm3": 2.9, "magnetic_moment_mub_per_atom": 0.00}